# 1
Density functional theory data (PBE) for an optimized crystal structure of ReHgNO.

Lattice parameters (Å, degrees): 3.205 7.920 6.069 90.00 90.00 90.00
Atoms (fractional coordinates):
1 Re 0.000 0.127 0.000
2 Re 0.000 0.873 0.500
3 Hg 0.500 0.363 0.497
4 Hg 0.500 0.637 0.997
5 N 0.000 0.001 0.251
6 N 0.000 0.999 0.751
7 O 0.500 0.262 0.996
8 O 0.500 0.738 0.496

## Properties
* magnetic moment: 0.0 Bohr magnetons per cell
* energy: -6.699 eV per atom

# 2
Density functional theory data (PBE) for an optimized crystal structure of ReHgNO.

Lattice parameters (Å, degrees): 3.901 3.901 7.135 90.00 90.00 90.00
Atoms (fractional coordinates):
1 Re 0.250 0.750 0.000
2 Re 0.750 0.250 0.000
3 Hg 0.250 0.250 0.334
4 Hg 0.750 0.750 0.666
5 N 0.250 0.250 0.900
6 N 0.750 0.750 0.100
7 O 0.250 0.750 0.500
8 O 0.750 0.250 0.500

## Properties
* magnetic moment: 0.4 Bohr magnetons per cell
* energy: -5.982 eV per atom

# 3
Density functional theory data (PBE) for an optimized crystal structure of HgSbNO.

Lattice parameters (Å, degrees): 3.872 3.872 8.120 90.00 90.00 90.00
Atoms (fractional coordinates):
1 Hg 0.250 0.750 0.000
2 Hg 0.750 0.250 0.000
3 Sb 0.250 0.250 0.354
4 Sb 0.750 0.750 0.646
5 N 0.250 0.250 0.803
6 N 0.750 0.750 0.197
7 O 0.250 0.750 0.500
8 O 0.750 0.250 0.500

## Properties
* energy: -3.991 eV per atom

# 4
Density functional theory data (PBE) for an optimized crystal structure of HgSbNO.

Lattice parameters (Å, degrees): 5.831 7.062 6.556 90.00 90.00 90.00
Atoms (fractional coordinates):
1 Hg 0.032 0.136 0.000
2 Hg 0.468 0.136 0.500
3 Hg 0.532 0.864 0.000
4 Hg 0.968 0.864 0.500
5 Sb 0.022 0.645 0.933
6 Sb 0.478 0.645 0.433
7 Sb 0.522 0.355 0.933
8 Sb 0.978 0.355 0.433
9 N 0.159 0.583 0.559
10 N 0.341 0.583 0.059
11 N 0.659 0.417 0.559
12 N 0.841 0.417 0.059
13 O 0.072 0.147 0.645
14 O 0.428 0.147 0.145
15 O 0.572 0.853 0.645
16 O 0.928 0.853 0.145

## Properties
* energy: -4.314 eV per atom

# 5
Density functional theory data (PBE) for an optimized crystal structure of HgSbNO.

Lattice parameters (Å, degrees): 4.335 5.486 5.351 90.00 90.00 90.00
Atoms (fractional coordinates):
1 Hg 0.000 0.235 0.000
2 Hg 0.000 0.765 0.500
3 Sb 0.500 0.269 0.504
4 Sb 0.500 0.731 0.004
5 N 0.500 0.356 0.894
6 N 0.500 0.644 0.394
7 O 0.000 0.248 0.474
8 O 0.000 0.752 0.974

## Properties
* energy: -4.369 eV per atom

# 6
Density functional theory data (PBE) for an optimized crystal structure of HgSbNO.

Lattice parameters (Å, degrees): 3.367 6.236 6.448 90.00 90.00 90.00
Atoms (fractional coordinates):
1 Hg 0.000 0.197 0.000
2 Hg 0.000 0.803 0.500
3 Sb 0.500 0.264 0.475
4 Sb 0.500 0.736 0.975
5 N 0.000 0.151 0.649
6 N 0.000 0.849 0.149
7 O 0.500 0.446 0.101
8 O 0.500 0.554 0.601

## Properties
* energy: -4.364 eV per atom

# 7
Density functional theory data (PBE) for an optimized crystal structure of HgSbNO.

Lattice parameters (Å, degrees): 5.031 5.031 4.681 90.00 90.00 90.00
Atoms (fractional coordinates):
1 Hg 0.250 0.250 0.005
2 Hg 0.750 0.750 0.995
3 Sb 0.250 0.750 0.500
4 Sb 0.750 0.250 0.500
5 N 0.250 0.250 0.504
6 N 0.750 0.750 0.496
7 O 0.250 0.750 0.000
8 O 0.750 0.250 0.000

## Properties
* energy: -4.130 eV per atom

# 8
Density functional theory data (PBE) for an optimized crystal structure of HgSbNO.

Lattice parameters (Å, degrees): 7.027 7.074 5.759 90.00 90.00 90.00
Atoms (fractional coordinates):
1 Hg 0.135 0.103 0.000
2 Hg 0.365 0.103 0.500
3 Hg 0.635 0.897 0.000
4 Hg 0.865 0.897 0.500
5 Sb 0.106 0.646 0.006
6 Sb 0.394 0.646 0.506
7 Sb 0.606 0.354 0.006
8 Sb 0.894 0.354 0.506
9 N 0.064 0.140 0.614
10 N 0.436 0.140 0.114
11 N 0.564 0.860 0.614
12 N 0.936 0.860 0.114
13 O 0.042 0.425 0.216
14 O 0.458 0.425 0.716
15 O 0.542 0.575 0.216
16 O 0.958 0.575 0.716

## Properties
* energy: -4.399 eV per atom

# 9
Density functional theory data (PBE) for an optimized crystal structure of ScHgNO.

Lattice parameters (Å, degrees): 6.096 7.370 5.956 90.00 90.00 90.00
Atoms (fractional coordinates):
1 Sc 0.092 0.109 0.000
2 Sc 0.408 0.109 0.500
3 Sc 0.592 0.891 0.000
4 Sc 0.908 0.891 0.500
5 Hg 0.216 0.617 0.852
6 Hg 0.284 0.617 0.352
7 Hg 0.716 0.383 0.852
8 Hg 0.784 0.383 0.352
9 N 0.008 0.636 0.571
10 N 0.492 0.636 0.071
11 N 0.508 0.364 0.571
12 N 0.992 0.364 0.071
13 O 0.123 0.060 0.661
14 O 0.377 0.060 0.161
15 O 0.623 0.940 0.661
16 O 0.877 0.940 0.161

## Properties
* magnetic moment: 0.0 Bohr magnetons per cell
* energy: -6.178 eV per atom

# 10
Density functional theory data (PBE) for an optimized crystal structure of ScHgNO.

Lattice parameters (Å, degrees): 3.773 5.935 5.654 90.00 90.00 90.00
Atoms (fractional coordinates):
1 Sc 0.000 0.184 0.000
2 Sc 0.000 0.816 0.500
3 Hg 0.500 0.287 0.476
4 Hg 0.500 0.713 0.976
5 N 0.000 0.141 0.368
6 N 0.000 0.859 0.868
7 O 0.500 0.306 0.925
8 O 0.500 0.694 0.425

## Properties
* magnetic moment: 0.0 Bohr magnetons per cell
* energy: -6.101 eV per atom

# 11
Density functional theory data (PBE) for an optimized crystal structure of ScHgNO.

Lattice parameters (Å, degrees): 4.774 4.774 4.537 90.00 90.00 90.00
Atoms (fractional coordinates):
1 Sc 0.250 0.750 0.000
2 Sc 0.750 0.250 0.000
3 Hg 0.250 0.250 0.496
4 Hg 0.750 0.750 0.504
5 N 0.250 0.250 0.998
6 N 0.750 0.750 0.002
7 O 0.250 0.750 0.500
8 O 0.750 0.250 0.500

## Properties
* magnetic moment: 0.0 Bohr magnetons per cell
* energy: -5.898 eV per atom

# 12
Density functional theory data (PBE) for an optimized crystal structure of ScHgNO.

Lattice parameters (Å, degrees): 3.617 6.421 6.386 90.00 90.00 90.00
Atoms (fractional coordinates):
1 Sc 0.000 0.126 0.000
2 Sc 0.000 0.874 0.500
3 Hg 0.500 0.489 0.680
4 Hg 0.500 0.511 0.180
5 N 0.500 0.297 0.936
6 N 0.500 0.703 0.436
7 O 0.000 0.105 0.305
8 O 0.000 0.895 0.805

## Properties
* magnetic moment: 0.0 Bohr magnetons per cell
* energy: -6.219 eV per atom